First-principles (PBE) data for crystalline Ac2HgCl at its relaxed geometry, as listed in Alexandria via LeMat-Bulk.

Structure (CIF):
```
data_Ac2HgCl
_cell_length_a 3.9999
_cell_length_b 3.9999
_cell_length_c 29.2142
_cell_angle_alpha 90.00
_cell_angle_beta 90.00
_cell_angle_gamma 120.00
_space_group_name_H-M_alt 'R 3 m'
_space_group_IT_number 160
_space_group_name_Hall 'R 3 -2"'
loop_
_atom_site_label
_atom_site_type_symbol
_atom_site_fract_x
_atom_site_fract_y
_atom_site_fract_z
_atom_site_occupancy
Ac1 Ac 0.0000 0.0000 0.0000 1
Ac2 Ac 0.0000 0.0000 0.1650 1
Hg1 Hg 0.0000 0.0000 0.5826 1
Cl1 Cl 0.0000 0.0000 0.7485 1
```

Results
E above lowest polymorph	38	meV per atom
ρ	8.49	g/cm3
formation energy without anion corrections	-894	meV per atom

---

First-principles (PBE) data for crystalline Ba2DyNp3O12 at its relaxed geometry, as listed in Alexandria via LeMat-Bulk.

Structure (CIF):
```
data_Ba2DyNp3O12
_cell_length_a 8.1101
_cell_length_b 8.1101
_cell_length_c 18.8578
_cell_angle_alpha 90.00
_cell_angle_beta 90.00
_cell_angle_gamma 120.00
_space_group_name_H-M_alt 'R -3 m'
_space_group_IT_number 166
_space_group_name_Hall '-R 3 2"'
loop_
_atom_site_label
_atom_site_type_symbol
_atom_site_fract_x
_atom_site_fract_y
_atom_site_fract_z
_atom_site_occupancy
Ba1 Ba 0.0000 0.0000 0.1879 1
Dy1 Dy 0.0000 0.0000 0.5000 1
Np1 Np 0.0000 0.5000 0.0000 1
O1 O 0.0561 0.5281 0.1041 1
O2 O 0.0973 0.5487 0.3602 1
```

Results
ρ	6.22	g/cm3
formation energy without anion corrections	-2950	meV per atom

---

What did the second record say?
First-principles (PBE) data for crystalline Ba2DyNp3O12 at its relaxed geometry, as listed in Alexandria via LeMat-Bulk.

Structure (CIF):
```
data_Ba2DyNp3O12
_cell_length_a 8.1101
_cell_length_b 8.1101
_cell_length_c 18.8578
_cell_angle_alpha 90.00
_cell_angle_beta 90.00
_cell_angle_gamma 120.00
_space_group_name_H-M_alt 'R -3 m'
_space_group_IT_number 166
_space_group_name_Hall '-R 3 2"'
loop_
_atom_site_label
_atom_site_type_symbol
_atom_site_fract_x
_atom_site_fract_y
_atom_site_fract_z
_atom_site_occupancy
Ba1 Ba 0.0000 0.0000 0.1879 1
Dy1 Dy 0.0000 0.0000 0.5000 1
Np1 Np 0.0000 0.5000 0.0000 1
O1 O 0.0561 0.5281 0.1041 1
O2 O 0.0973 0.5487 0.3602 1
```

Results
ρ	6.22	g/cm3
formation energy without anion corrections	-2950	meV per atom

---

- Which value of formation energy without anion corrections does entry 1 give?
  -894 meV per atom